1.
VASP calculation (PBE) on crystalline SmTlNi at its relaxed geometry.

Calculated values
Raw total energy in hartree per atom: -0.142

Structure (POSCAR):
```
SmTlNi
1.0
0.000 3.439 3.439
3.439 0.000 3.439
3.439 3.439 0.000
Sm Tl Ni
1 1 1
direct
0.000 0.000 0.000 Sm
0.250 0.250 0.250 Tl
0.750 0.750 0.750 Ni
```


2.
VASP calculation (PBE) on crystalline Sm2Tl8Ni at its relaxed geometry.

Calculated values
Raw total energy in hartree per atom: -0.119

Structure (POSCAR):
```
Sm2Tl8Ni
1.0
4.801 0.000 0.000
0.000 4.801 0.000
0.000 0.000 12.656
Sm Tl Ni
2 8 1
direct
0.000 0.000 0.194 Sm
0.000 0.000 0.806 Sm
0.000 0.500 0.000 Tl
0.000 0.500 0.379 Tl
0.000 0.500 0.621 Tl
0.500 0.000 0.000 Tl
0.500 0.000 0.379 Tl
0.500 0.000 0.621 Tl
0.500 0.500 0.189 Tl
0.500 0.500 0.811 Tl
0.000 0.000 0.500 Ni
```


3.
VASP calculation (PBE) on crystalline SmTmTlNi2 at its relaxed geometry.

Calculated values
Raw total energy in hartree per atom: -0.184

Structure (POSCAR):
```
SmTmTlNi2
1.0
3.693 0.000 0.000
0.000 1.961 7.237
0.000 -1.961 7.237
Sm Tm Tl Ni
1 1 1 2
direct
0.000 0.000 0.000 Sm
0.000 0.278 0.278 Tm
0.500 0.642 0.642 Tl
0.500 0.434 0.434 Ni
0.500 0.835 0.835 Ni
```


4.
VASP calculation (PBE) on crystalline SmY2Tl3Ni3 at its relaxed geometry.

Calculated values
Raw total energy in hartree per atom: -0.182

Structure (POSCAR):
```
SmY2Tl3Ni3
1.0
3.789 0.000 0.000
0.000 6.574 3.806
0.000 -6.574 3.806
Sm Y Tl Ni
1 2 3 3
direct
0.000 0.000 0.000 Sm
0.000 0.409 0.817 Y
0.000 0.817 0.409 Y
0.500 0.149 0.412 Tl
0.500 0.412 0.149 Tl
0.500 0.667 0.667 Tl
0.000 0.409 0.409 Ni
0.500 0.076 0.742 Ni
0.500 0.742 0.076 Ni
```


5.
VASP calculation (PBE) on crystalline SmYTlNi2 at its relaxed geometry.

Calculated values
Raw total energy in hartree per atom: -0.198

Structure (POSCAR):
```
SmYTlNi2
1.0
3.722 0.000 0.000
0.000 1.968 7.257
0.000 -1.968 7.257
Sm Y Tl Ni
1 1 1 2
direct
0.000 0.000 0.000 Sm
0.000 0.276 0.276 Y
0.500 0.640 0.640 Tl
0.500 0.436 0.436 Ni
0.500 0.839 0.839 Ni
```


6.
VASP calculation (PBE) on crystalline SmTmNi at its relaxed geometry.

Calculated values
Raw total energy in hartree per atom: -0.186

Structure (POSCAR):
```
SmTmNi
1.0
0.000 3.346 3.346
3.346 0.000 3.346
3.346 3.346 0.000
Sm Tm Ni
1 1 1
direct
0.000 0.000 0.000 Sm
0.500 0.500 0.500 Tm
0.250 0.250 0.250 Ni
```